Record 1
Crystalline PrPa4 at its relaxed geometry. Source: the Alexandria database, functional PBE-GGA.

Properties
- space group = Pm-3m (221)
- uncorrected energy (eV for the cell shown) = -35.2
- Fermi-level density of states (states/eV per cell) = 16.11
- energy of formation from the pure elements (eV per atom) = 1.52

The structure in POSCAR format:
```
PrPa4
1.0
5.439 0.000 0.000
0.000 5.439 0.000
0.000 0.000 5.439
Pr Pa
1 4
Direct
0.000 0.000 0.000
0.000 0.000 0.500
0.000 0.500 0.000
0.500 0.000 0.000
0.500 0.500 0.500
```

Record 2
Crystalline ErHgF3 at its relaxed geometry. Source: the Alexandria database, functional PBE-GGA.

Properties
- space group = R-3 (148)
- distance to the lowest polymorph of the same formula (meV/atom) = 0
- energy relative to the elements, uncorrected (eV/atom) = -3.19
- uncorrected energy (eV for the cell shown) = -52.8
- Fermi-level density of states (states/eV per cell) = 0.00

The structure in POSCAR format:
```
ErHgF3
1.0
3.054 1.763 8.412
-3.054 1.763 8.412
0.000 -3.526 8.412
Er Hg F
2 2 6
Direct
0.168 0.168 0.168
0.832 0.832 0.832
0.343 0.343 0.343
0.657 0.657 0.657
0.057 0.452 0.857
0.143 0.943 0.548
0.452 0.857 0.057
0.548 0.143 0.943
0.857 0.057 0.452
0.943 0.548 0.143
```